1.
Compound: Ce3Pd5
Source: the Alexandria database
Functional: GGA-PBEsol
Structure: relaxed

## Properties
ΔH_f (0 K) = -684 meV per atom
Density of states at the Fermi level = 13.17 states/eV per cell
Calculated volume = 161.0 Å³ per cell
Theoretical density = 9.8 Mg/m³

abc: 7.0019 7.0019 3.7923
angles: 90.00 90.00 120.00
Sites, in units of the cell vectors:
Ce 0.0000 0.3558 0.0000
Ce 0.3558 0.0000 0.0000
Ce 0.6442 0.6442 0.0000
Pd 0.0000 0.7698 0.5000
Pd 0.2302 0.2302 0.5000
Pd 0.3333 0.6667 0.5000
Pd 0.6667 0.3333 0.5000
Pd 0.7698 0.0000 0.5000

***

2.
Compound: CePdPt4
Source: the Alexandria database
Functional: GGA-PBEsol
Structure: relaxed

## Properties
ΔH_f (0 K) = -644 meV per atom
Density of states at the Fermi level = 8.20 states/eV per cell
Calculated volume = 106.4 Å³ per cell
Theoretical density = 16.0 Mg/m³

abc: 5.2905 5.2905 4.3899
angles: 90.00 90.00 120.00
Sites, in units of the cell vectors:
Ce 0.0000 0.0000 0.0000
Pd 0.6667 0.3333 0.0000
Pt 0.3333 0.6667 0.0000
Pt 0.5004 0.0008 0.5000
Pt 0.5004 0.4996 0.5000
Pt 0.9992 0.4996 0.5000